Here is a relaxed structure of SrAg2Cl8 from Alexandria via LeMat-Bulk. Energies are from PBE.

The density is 3.132 Mg/m³. The value obtained for the formation energy (no corrections) is -0.80 eV per atom.

It has space group I422 (No. 97), with a = 7.0289 Å, b = 7.0289 Å, c = 12.5973 Å, α = 90.00°, β = 90.00° and γ = 90.00°. Symmetry generates all atoms from Sr at (0.0000, 0.0000, 0.0000), Ag at (0.0000, 0.5000, 0.2500) and Cl at (0.1665, 0.3258, 0.6206).



Here is a relaxed structure of Sr2AgCl from Alexandria via LeMat-Bulk. Energies are from PBE.

The density is 4.293 Mg/m³. The value obtained for the formation energy (no corrections) is -0.88 eV per atom.

It has space group P4/mmm (No. 123), with a = 3.8579 Å, b = 3.8579 Å, c = 8.2792 Å, α = 90.00°, β = 90.00° and γ = 90.00°. Symmetry generates all atoms from Sr at (0.0000, 0.0000, 0.2306), Ag at (0.5000, 0.5000, 0.0000) and Cl at (0.5000, 0.5000, 0.5000).



Here is a relaxed structure of SrAgCl3 from Alexandria via LeMat-Bulk. Energies are from PBE.

The density is 2.839 Mg/m³. The value obtained for the formation energy (no corrections) is -1.27 eV per atom.

It has space group Pm-3m (No. 221), with a = 5.6097 Å, b = 5.6097 Å, c = 5.6097 Å, α = 90.00°, β = 90.00° and γ = 90.00°. Symmetry generates all atoms from Sr at (0.0000, 0.0000, 0.0000), Ag at (0.5000, 0.5000, 0.5000) and Cl at (0.0000, 0.0000, 0.5000).



Here is a relaxed structure of Sr2AgCl from Alexandria via LeMat-Bulk. Energies are from PBE.

The density is 3.919 Mg/m³. The value obtained for the formation energy (no corrections) is -0.87 eV per atom.

It has space group Imm2 (No. 44), with a = 3.9928 Å, b = 4.1871 Å, c = 16.1478 Å, α = 90.00°, β = 90.00° and γ = 90.00°. Symmetry generates all atoms from Sr at (0.0000, 0.0000, 0.0000), Sr at (0.0000, 0.5000, 0.2606), Ag at (0.0000, 0.0000, 0.4108) and Cl at (0.0000, 0.5000, 0.6685).



Here is a relaxed structure of SrAg4Cl from Alexandria via LeMat-Bulk. Energies are from PBE.

The density is 6.815 Mg/m³. The value obtained for the formation energy (no corrections) is -0.31 eV per atom.

It has space group F-43m (No. 216), with a = 8.1458 Å, b = 8.1458 Å, c = 8.1458 Å, α = 90.00°, β = 90.00° and γ = 90.00°. Symmetry generates all atoms from Sr at (0.0000, 0.0000, 0.0000), Ag at (0.1245, 0.1245, 0.6245) and Cl at (0.2500, 0.2500, 0.2500).



Here is a relaxed structure of Sr4AgCl from Alexandria via LeMat-Bulk. Energies are from PBE.

The density is 2.718 Mg/m³. The value obtained for the formation energy (no corrections) is 0.18 eV per atom.

It has space group F-43m (No. 216), with a = 10.6459 Å, b = 10.6459 Å, c = 10.6459 Å, α = 90.00°, β = 90.00° and γ = 90.00°. Symmetry generates all atoms from Sr at (0.1243, 0.1243, 0.1243), Ag at (0.2500, 0.2500, 0.7500) and Cl at (0.0000, 0.0000, 0.5000).



Here is a relaxed structure of SrAg2Cl5 from Alexandria via LeMat-Bulk. Energies are from PBE.

The density is 3.726 Mg/m³. The value obtained for the formation energy (no corrections) is -1.13 eV per atom.

It has space group I4/mcm (No. 140), with a = 7.4137 Å, b = 7.4137 Å, c = 15.5894 Å, α = 90.00°, β = 90.00° and γ = 90.00°. Symmetry generates all atoms from Sr at (0.0000, 0.0000, 0.2500), Ag at (0.2039, 0.2961, 0.0000), Cl at (0.0000, 0.0000, 0.0000) and Cl at (0.1865, 0.3135, 0.1541).



Here is a relaxed structure of SrAgCl4 from Alexandria via LeMat-Bulk. Energies are from PBE.

The density is 3.588 Mg/m³. The value obtained for the formation energy (no corrections) is -0.44 eV per atom.

It has space group F-43m (No. 216), with a = 8.5469 Å, b = 8.5469 Å, c = 8.5469 Å, α = 90.00°, β = 90.00° and γ = 90.00°. Symmetry generates all atoms from Sr at (0.0000, 0.0000, 0.0000), Ag at (0.2500, 0.2500, 0.7500) and Cl at (0.1246, 0.1246, 0.3754).



Here is a relaxed structure of Sr2AgCl from Alexandria via LeMat-Bulk. Energies are from PBE.

The density is 3.794 Mg/m³. The value obtained for the formation energy (no corrections) is -0.91 eV per atom.

It has space group Cm (No. 8), with a = 15.8900 Å, b = 4.0721 Å, c = 4.3099 Å, α = 90.00°, β = 90.07° and γ = 90.00°. Symmetry generates all atoms from Sr at (0.0000, 0.0000, 0.0000), Sr at (0.2421, 0.0000, 0.4980), Ag at (0.0826, 0.5000, 0.5004) and Cl at (0.3114, 0.5000, 0.9985).



Here is a relaxed structure of Sr2AgCl from Alexandria via LeMat-Bulk. Energies are from PBE.

The density is 3.942 Mg/m³. The value obtained for the formation energy (no corrections) is -0.98 eV per atom.

It has space group C2/m (No. 12), with a = 7.6044 Å, b = 4.3738 Å, c = 8.4650 Å, α = 90.00°, β = 107.59° and γ = 90.00°. Symmetry generates all atoms from Sr at (0.2471, 0.0000, 0.2368), Ag at (0.0000, 0.5000, 0.0000) and Cl at (0.0000, 0.0000, 0.5000).



Here is a relaxed structure of SrAgCl from Alexandria via LeMat-Bulk. Energies are from PBE.

The density is 3.495 Mg/m³. The value obtained for the formation energy (no corrections) is -0.83 eV per atom.

It has space group Amm2 (No. 38), with a = 13.5003 Å, b = 4.3322 Å, c = 7.5045 Å, α = 90.00°, β = 90.00° and γ = 90.00°. Symmetry generates all atoms from Sr at (0.1562, 0.0000, 0.0000), Ag at (0.0000, 0.0000, 0.3335), Ag at (0.5000, 0.0000, 0.0155) and Cl at (0.2631, 0.0000, 0.3332).



Here is a relaxed structure of SrTa2AgCl from Alexandria via LeMat-Bulk. Energies are from PBE.

The density is 6.097 Mg/m³. The value obtained for the formation energy (no corrections) is 1.24 eV per atom.

It has space group P4/mmm (No. 123), with a = 4.9913 Å, b = 4.9913 Å, c = 6.4809 Å, α = 90.00°, β = 90.00° and γ = 90.00°. Symmetry generates all atoms from Sr at (0.0000, 0.0000, 0.0000), Ta at (0.0000, 0.5000, 0.5000), Ag at (0.0000, 0.0000, 0.5000) and Cl at (0.5000, 0.5000, 0.0000).